Entry from Alexandria via LeMat-Bulk: a geometry-optimized Re3Ni structure (PBE).

Properties
As for the total energy: -10.541 eV/atom. As for the density of states at the Fermi level: 0.6741 states/eV/atom. For the formation enthalpy at 0 K, the calculation gives 241 meV per atom. Its total magnetic moment is 0.00 Bohr magnetons per cell.

Cell lengths 5.0827, 5.0827, 5.0827 Å; angles 117.08, 117.08, 117.08 degrees
Fractional positions:
Re1 0.0000 0.5000 0.5000
Re2 0.5000 0.0000 0.5000
Re3 0.5000 0.5000 0.0000
Ni1 0.0000 0.0000 0.0000

=====

Entry from Alexandria via LeMat-Bulk: a geometry-optimized Re2Ni structure (PBE).

Properties
As for the total energy: -9.248 eV/atom. The energy above the most stable polymorph in this dataset comes out at 1015 meV/atom. As for the density of states at the Fermi level: 0.2395 states/eV/atom. For the formation enthalpy at 0 K, the calculation gives 978 meV per atom. Its total magnetic moment is 0.00 Bohr magnetons per cell.

Cell lengths 5.7385, 5.7385, 5.7385 Å; angles 90.00, 90.00, 90.00 degrees
Fractional positions:
Re1 0.1166 0.1166 0.1166
Re2 0.1166 0.3834 0.6166
Re3 0.3834 0.6166 0.1166
Re4 0.3834 0.8834 0.6166
Re5 0.6166 0.1166 0.3834
Re6 0.6166 0.3834 0.8834
Re7 0.8834 0.6166 0.3834
Re8 0.8834 0.8834 0.8834
Ni1 0.0000 0.0000 0.5000
Ni2 0.0000 0.5000 0.0000
Ni3 0.5000 0.0000 0.0000
Ni4 0.5000 0.5000 0.5000

=====

Entry from Alexandria via LeMat-Bulk: a geometry-optimized Re2Ni structure (PBE).

Properties
As for the total energy: -10.111 eV/atom. The energy above the most stable polymorph in this dataset comes out at 151 meV/atom. As for the density of states at the Fermi level: 1.0764 states/eV/atom. For the formation enthalpy at 0 K, the calculation gives 115 meV per atom. Its total magnetic moment is 0.00 Bohr magnetons per cell.

Cell lengths 2.7227, 2.7227, 6.5061 Å; angles 90.00, 90.00, 120.00 degrees
Fractional positions:
Re1 0.3333 0.6667 0.3289
Re2 0.6667 0.3333 0.6711
Ni1 0.0000 0.0000 0.0000

=====

Entry from Alexandria via LeMat-Bulk: a geometry-optimized Re5Ni structure (PBE).

Properties
As for the total energy: -11.230 eV/atom. The energy above the most stable polymorph in this dataset comes out at 128 meV/atom. As for the density of states at the Fermi level: 1.2005 states/eV/atom. For the formation enthalpy at 0 K, the calculation gives 107 meV per atom. Its total magnetic moment is 0.00 Bohr magnetons per cell.

Cell lengths 2.7414, 2.7414, 11.5263 Å; angles 90.00, 90.00, 90.00 degrees
Fractional positions:
Re1 0.0000 0.0000 0.0000
Re2 0.0000 0.0000 0.3431
Re3 0.0000 0.0000 0.6569
Re4 0.5000 0.5000 0.1718
Re5 0.5000 0.5000 0.8282
Ni1 0.5000 0.5000 0.5000

=====

Entry from Alexandria via LeMat-Bulk: a geometry-optimized ReNi3 structure (PBE).

Properties
As for the total energy: -7.424 eV/atom. As for the density of states at the Fermi level: 1.0006 states/eV/atom. For the formation enthalpy at 0 K, the calculation gives 24 meV per atom. Its total magnetic moment is 0.00 Bohr magnetons per cell.

Cell lengths 5.0738, 12.5459, 4.4332 Å; angles 90.00, 90.00, 90.00 degrees
Fractional positions:
Re1 0.2500 0.0841 0.1678
Re2 0.2500 0.4159 0.1678
Re3 0.2500 0.7500 0.5052
Re4 0.7500 0.2500 0.4948
Re5 0.7500 0.5841 0.8322
Re6 0.7500 0.9159 0.8322
Ni1 0.9996 0.0827 0.6666
Ni2 0.0000 0.2500 0.9921
Ni3 0.9996 0.4173 0.6666
Ni4 0.0004 0.5827 0.3334
Ni5 0.0000 0.7500 0.0079
Ni6 0.0004 0.9173 0.3334
Ni7 0.2500 0.2500 0.4912
Ni8 0.2500 0.5833 0.8334
Ni9 0.2500 0.9167 0.8334
Ni10 0.5004 0.0827 0.6666
Ni11 0.5000 0.2500 0.9921
Ni12 0.5004 0.4173 0.6666
Ni13 0.4996 0.5827 0.3334
Ni14 0.5000 0.7500 0.0079
Ni15 0.4996 0.9173 0.3334
Ni16 0.7500 0.0833 0.1666
Ni17 0.7500 0.4167 0.1666
Ni18 0.7500 0.7500 0.5088

=====

Entry from Alexandria via LeMat-Bulk: a geometry-optimized Re3Ni structure (PBE).

Properties
As for the total energy: -10.885 eV/atom. As for the density of states at the Fermi level: 0.4245 states/eV/atom. For the formation enthalpy at 0 K, the calculation gives -104 meV per atom. Its total magnetic moment is 0.00 Bohr magnetons per cell.

Cell lengths 5.4274, 5.4274, 4.3730 Å; angles 90.00, 90.00, 120.00 degrees
Fractional positions:
Re1 0.1662 0.3325 0.2500
Re2 0.1662 0.8338 0.2500
Re3 0.3325 0.1662 0.7500
Re4 0.6675 0.8338 0.2500
Re5 0.8338 0.1662 0.7500
Re6 0.8338 0.6675 0.7500
Ni1 0.3333 0.6667 0.7500
Ni2 0.6667 0.3333 0.2500

=====

Question: formation enthalpy at 0 K of number 3 (Re2Ni)?
Answer: 115 meV per atom

=====

Question: Which formula does entry 6 have?
Answer: Re3Ni

=====

Question: The highest formation enthalpy at 0 K belongs to which entry?
Answer: number 2